CsRb2AgAu after structural relaxation. Source: Alexandria via LeMat-Bulk, functional PBE.

Calculated values
DFT formation energy	0.22	eV per formula unit
space-group type	No. 123
D(E_F)	0.501	states/eV/atom
volume	254	Å³/cell

a = 6.818 Å, b = 6.818 Å, c = 5.457 Å
α = 90.00°, β = 90.00°, γ = 90.00°
Element x y z (fractional)
Cs (0.000, 0.000, 0.000)
Rb (0.000, 0.500, 0.500)
Rb (0.500, 0.000, 0.500)
Ag (0.500, 0.500, 0.500)
Au (0.500, 0.500, 0.000)


K2CaReCl after structural relaxation. Source: Alexandria via LeMat-Bulk, functional PBE.

Calculated values
space-group type	No. 123
D(E_F)	0.954	states/eV/atom
energy relative to the elements, uncorrected	0.8126	eV per atom
volume	208	Å³/cell

a = 6.858 Å, b = 6.858 Å, c = 4.421 Å
α = 90.00°, β = 90.00°, γ = 90.00°
Element x y z (fractional)
K (0.000, 0.500, 0.000)
K (0.500, 0.000, 0.000)
Ca (0.000, 0.000, 0.500)
Re (0.500, 0.500, 0.000)
Cl (0.500, 0.500, 0.500)


In g/cm³, the calculated density values for the records above are, in order, 4.0, 2.7.